Entry 1:
Y2HgMo: relaxed, PBE-GGA.

Its crystal system is tetragonal. The value obtained for the total magnetization is 0.00 μB per cell. The value obtained for the formation enthalpy at 0 K is 251 meV per atom. The value obtained for the energy is -23.06 eV per cell. The density of states at the Fermi level is 3.2 states/eV/cell.

Cell lengths 3.8999, 3.8999, 6.3755 Å; angles 90.00, 90.00, 90.00 degrees
Closest atoms and distances in Å follow each position.
Space group P4mm (No. 99)
Symmetry-distinct sites (fractional):
Y  0.0000  0.0000  0.0000 [1 per cell]  1 Hg 2.91, 4 Mo 2.99
Y  0.5000  0.5000  0.3245 [1 per cell]  4 Hg 3.09, 2 Mo 3.16-3.22, 4 Y 3.45
Hg  0.0000  0.0000  0.5440 [1 per cell]  5 Y 2.91-3.09
Mo  0.5000  0.5000  0.8201 [1 per cell]  6 Y 2.99-3.22, 4 Hg 3.27

Entry 2:
YHg2Mo: relaxed, PBE-GGA.

Its crystal system is orthorhombic. The value obtained for the total magnetization is 0.00 μB per cell. The value obtained for the formation enthalpy at 0 K is 274 meV per atom. The value obtained for the energy is -33.61 eV per cell. For the energy above the lowest structure with this stoichiometry, the calculation gives 0.39 eV/f.u. The density of states at the Fermi level is 6.6 states/eV/cell.

Cell lengths 3.2898, 5.1830, 10.1741 Å; angles 90.00, 90.00, 90.00 degrees
Closest atoms and distances in Å follow each position.
Space group Imm2 (No. 44)
Symmetry-distinct sites (fractional):
Y  0.0000  0.0000  0.0000 [2 per cell]  2 Mo 2.99, 6 Hg 3.08-3.19, 2 Y 3.29
Hg  0.0000  0.0000  0.5208 [2 per cell]  2 Mo 2.89, 2 Hg 3.05, 4 Y 3.08
Hg  0.0000  0.5000  0.7684 [2 per cell]  4 Hg 3.05-3.29, 4 Mo 3.07, 2 Y 3.19
Mo  0.0000  0.5000  0.2542 [2 per cell]  6 Hg 2.89-3.07, 2 Y 2.99

Entry 3:
YHg2Mo: relaxed, PBE-GGA.

Its crystal system is monoclinic. The value obtained for the total magnetization is 0.00 μB per cell. The value obtained for the formation enthalpy at 0 K is 263 meV per atom. The value obtained for the energy is -16.85 eV per cell. For the energy above the lowest structure with this stoichiometry, the calculation gives 0.34 eV/f.u. The density of states at the Fermi level is 2.7 states/eV/cell.

Cell lengths 3.1705, 5.0431, 5.2959 Å; angles 90.00, 91.57, 90.00 degrees
Closest atoms and distances in Å follow each position.
Space group Pm (No. 6)
Symmetry-distinct sites (fractional):
Y  0.0000  0.0000  0.0000 [1 per cell]  8 Hg 2.96-3.16, 2 Mo 3.14, 2 Y 3.17
Hg  0.5134  0.0000  0.5139 [1 per cell]  4 Y 2.96-3.16, 4 Mo 2.97-3.16, 4 Hg 3.13-3.17
Hg  0.5247  0.5000  0.1633 [1 per cell]  4 Mo 2.98-3.27, 4 Y 3.07-3.13, 4 Hg 3.13-3.17
Mo  0.0779  0.5000  0.6501 [1 per cell]  8 Hg 2.97-3.27, 2 Y 3.14, 2 Mo 3.17

Entry 4:
YHgMo4: relaxed, PBE-GGA.

Its crystal system is cubic. The value obtained for the total magnetization is 0.00 μB per cell. The value obtained for the formation enthalpy at 0 K is 308 meV per atom. The value obtained for the energy is -192.98 eV per cell. The density of states at the Fermi level is 32.0 states/eV/cell.

Cell lengths 7.6805, 7.6805, 7.6805 Å; angles 90.00, 90.00, 90.00 degrees
Closest atoms and distances in Å follow each position.
Space group F-43m (No. 216)
Symmetry-distinct sites (fractional):
Y  0.0000  0.0000  0.0000 [4 per cell]  12 Mo 3.19, 4 Hg 3.33
Hg  0.2500  0.2500  0.7500 [4 per cell]  12 Mo 3.18, 4 Y 3.33
Mo  0.1243  0.1243  0.3757 [16 per cell]  6 Mo 2.70-2.73